The following is a PBE+U calculation of a relaxed VNi2GeO6 crystal, from Alexandria.

## Properties
- raw total energy (eV/atom) = -6.19

Cell lengths 5.023, 5.036, 5.356 Å; angles 117.58, 90.32, 118.95 degrees
Space group P1 (No. 1)
Symmetry-distinct sites (fractional):
V (0.000, 0.000, 0.000)
Ni (0.206, 0.418, 0.614)
Ni (0.703, 0.422, 0.122)
Ge (0.483, 0.986, 0.493)
O (0.126, 0.525, 0.299)
O (0.294, 0.187, 0.797)
O (0.399, 0.185, 0.311)
O (0.625, 0.924, 0.793)
O (0.779, 0.925, 0.311)
O (0.906, 0.553, 0.811)